(1)
An optimized crystal structure of Dy4ThAs5, computed with PBE.

## Properties
SG	Immm, No. 71

Structure (POSCAR):
```
Dy4ThAs5
1.0
4.079 0.000 -0.787
-0.303 5.653 -1.569
0.000 -0.008 10.966
Dy As Th
4 5 1
Direct
0.398 0.398 0.795
0.797 0.797 0.595
0.203 0.203 0.405
0.602 0.602 0.205
0.200 0.700 0.400
0.603 0.103 0.205
0.800 0.300 0.600
0.397 0.897 0.795
0.000 0.500 0.000
0.000 0.000 0.000
```



(2)
An optimized crystal structure of DyTm2ThAs4, computed with PBE.

## Properties
SG	P2/m, No. 10

Structure (POSCAR):
```
DyTm2ThAs4
1.0
-2.919 -0.030 -2.931
-1.537 -6.781 1.601
-5.062 -0.172 5.043
As Tm Dy Th
4 2 1 1
Direct
0.500 0.244 0.749
0.000 0.241 0.257
0.000 0.759 0.743
0.500 0.756 0.251
0.500 0.000 0.500
0.000 0.000 0.000
0.000 0.500 0.500
0.500 0.500 0.000
```



(3)
An optimized crystal structure of Dy3TmTh2As6, computed with PBE.

## Properties
SG	C2/m, No. 12

Structure (POSCAR):
```
Dy3TmTh2As6
1.0
-3.095 1.543 2.327
0.747 -6.399 5.238
7.216 5.396 2.284
As Dy Th Tm
6 3 2 1
Direct
0.335 0.413 0.669
0.335 0.923 0.669
0.002 0.754 0.005
0.998 0.246 0.995
0.665 0.077 0.331
0.665 0.587 0.331
0.833 0.166 0.667
0.500 0.500 0.000
0.167 0.834 0.333
0.165 0.330 0.329
0.835 0.670 0.671
0.500 0.000 0.000
```



(4)
An optimized crystal structure of Dy2TmThAs4, computed with PBE.

## Properties
SG	P2/m, No. 10

Structure (POSCAR):
```
Dy2TmThAs4
1.0
4.150 0.000 0.000
0.000 7.173 -0.143
0.000 2.523 6.705
As Tm Dy Th
4 1 2 1
Direct
0.500 0.750 0.255
0.500 0.250 0.745
0.000 0.246 0.257
0.000 0.754 0.743
0.000 0.500 0.500
0.500 0.000 0.500
0.000 0.000 0.000
0.500 0.500 0.000
```



(5)
An optimized crystal structure of Dy2ThUAs4, computed with PBE.

## Properties
SG	P2/m, No. 10

Structure (POSCAR):
```
Dy2ThUAs4
1.0
-0.446 0.890 4.022
6.985 -1.242 1.049
-0.972 6.946 -1.645
As Th Dy U
4 1 2 1
Direct
0.500 0.755 0.748
0.000 0.757 0.255
0.000 0.243 0.745
0.500 0.245 0.252
0.500 0.500 0.000
0.500 0.000 0.500
0.000 0.500 0.500
0.000 0.000 0.000
```



(6)
An optimized crystal structure of Dy3Th2UAs6, computed with PBE.

## Properties
SG	C2/m, No. 12

Structure (POSCAR):
```
Dy3Th2UAs6
1.0
-2.112 -3.541 0.549
7.151 -4.061 1.318
-1.359 4.500 8.036
As U Th Dy
6 1 2 3
Direct
0.335 0.413 0.669
0.997 0.247 0.994
0.003 0.753 0.006
0.666 0.076 0.331
0.334 0.924 0.669
0.665 0.587 0.331
0.500 0.000 0.000
0.835 0.669 0.670
0.165 0.331 0.330
0.832 0.167 0.664
0.500 0.500 0.000
0.168 0.833 0.336
```



(7)
An optimized crystal structure of Dy3YTh2As6, computed with PBE.

## Properties
SG	C2/m, No. 12

Structure (POSCAR):
```
Dy3YTh2As6
1.0
4.177 0.000 0.000
0.000 8.315 0.306
-2.089 -2.387 8.758
As Th Dy Y
6 2 3 1
Direct
0.665 0.587 0.331
0.333 0.922 0.667
0.998 0.250 0.996
0.335 0.413 0.669
0.667 0.078 0.333
0.002 0.750 0.004
0.835 0.670 0.670
0.165 0.330 0.330
0.166 0.834 0.332
0.834 0.166 0.668
0.500 0.500 0.000
0.500 0.000 0.000
```



(8)
An optimized crystal structure of DyY2ThAs4, computed with PBE.

## Properties
SG	P2/m, No. 10

Structure (POSCAR):
```
DyY2ThAs4
1.0
-1.455 -3.646 1.396
-0.499 -2.393 -6.767
6.174 -3.184 -1.881
As Th Y Dy
4 1 2 1
Direct
0.000 0.246 0.255
0.500 0.751 0.252
0.000 0.754 0.745
0.500 0.249 0.748
0.500 0.500 0.000
0.000 0.000 0.000
0.500 0.000 0.500
0.000 0.500 0.500
```



(9)
An optimized crystal structure of Dy2ThZrAs4, computed with PBE.

## Properties
SG	P2/m, No. 10

Structure (POSCAR):
```
Dy2ThZrAs4
1.0
4.094 0.000 0.000
0.000 7.097 -0.147
0.000 2.492 6.628
As Dy Zr Th
4 2 1 1
Direct
0.500 0.257 0.737
0.000 0.248 0.262
0.000 0.752 0.738
0.500 0.743 0.263
0.000 0.000 0.000
0.500 0.000 0.500
0.000 0.500 0.500
0.500 0.500 0.000
```



(10)
An optimized crystal structure of DyTi2As4, computed with PBE.

## Properties
SG	Cmcm, No. 63

Structure (POSCAR):
```
DyTi2As4
1.0
-0.083 -3.764 -0.073
1.474 1.968 -5.968
12.012 -0.319 2.861
As Ti Dy
8 4 2
Direct
0.759 0.518 0.122
0.065 0.131 0.250
0.935 0.869 0.750
0.500 0.000 0.000
0.759 0.518 0.378
0.241 0.482 0.878
0.241 0.482 0.622
0.500 0.000 0.500
0.131 0.263 0.443
0.131 0.263 0.057
0.869 0.737 0.557
0.869 0.737 0.943
0.612 0.224 0.750
0.388 0.776 0.250
```



(11)
An optimized crystal structure of DyTiAs2, computed with PBE.

## Properties
excess energy over the best structure of this formula in the dataset	83	meV per atom
SG	R3m, No. 160

Structure (POSCAR):
```
DyTiAs2
1.0
3.821 0.000 0.000
1.911 3.309 0.000
1.911 1.103 6.632
As Dy Ti
2 1 1
Direct
0.261 0.261 0.218
0.072 0.072 0.784
0.497 0.497 0.510
0.671 0.671 0.987
```



(12)
An optimized crystal structure of DyTiAs2, computed with PBE.

## Properties
excess energy over the best structure of this formula in the dataset	0	meV per atom
SG	R-3m, No. 166

Structure (POSCAR):
```
DyTiAs2
1.0
3.875 0.000 0.000
1.938 3.356 0.000
1.938 1.119 6.373
As Ti Dy
2 1 1
Direct
0.740 0.740 0.779
0.260 0.260 0.221
0.000 0.000 0.000
0.500 0.500 0.500
```



Sequential ΔE_f output: -1.5150; -1.4953; -1.4884; -1.5033; -1.2930; -1.3505; -1.5014; -1.5270; -1.3661; -0.8046; -1.0659; -1.1485 eV per atom